Entry 1:
Compound: Zn2AgHRh
Source: Alexandria
Functional: PBE
Structure: optimized geometry

Cell: 4.2527 4.2527 3.4850 Å, 90.00 90.00 90.00°
With the nearest neighbours (Å) after each atom.
Atoms (fractional coordinates):
H (0.0000, 0.0000, 0.0000)  2 Rh 1.74
Zn (0.0000, 0.5000, 0.0000)  2 H 2.13
Zn (0.5000, 0.0000, 0.0000)  2 H 2.13
Rh (0.0000, 0.0000, 0.5000)  2 H 1.74
Ag (0.5000, 0.5000, 0.5000)  8 Zn 2.75, 4 Rh 3.01

Output
* symmetry: P4/mmm (123)
* final energy: -3.32 eV/atom

Entry 2:
Compound: Ag2H2Ru
Source: Alexandria
Functional: PBE
Structure: optimized geometry

Cell: 5.3341 5.3341 4.1910 Å, 90.00 90.00 90.00°
With the nearest neighbours (Å) after each atom.
Atoms (fractional coordinates):
Ru (0.0000, 0.0000, 0.0000)  4 H 1.89
Ru (0.5000, 0.5000, 0.0000)  4 H 1.89
Ag (0.1896, 0.6896, 0.5000)  2 H 2.12
Ag (0.6896, 0.8104, 0.5000)  2 H 2.12
Ag (0.8104, 0.3104, 0.5000)  2 H 2.12
Ag (0.3104, 0.1896, 0.5000)  2 H 2.12
H (0.2321, 0.7321, 0.0000)  2 Ru 1.89
H (0.7321, 0.7679, 0.0000)  2 Ru 1.89
H (0.7679, 0.2679, 0.0000)  2 Ru 1.89
H (0.2679, 0.2321, 0.0000)  2 Ru 1.89

Output
* symmetry: P4/mbm (127)
* final energy: -3.96 eV/atom

Entry 3:
Compound: AgH3Ru
Source: Alexandria
Functional: PBE
Structure: optimized geometry

Cell: 3.5144 3.5144 3.5144 Å, 90.00 90.00 90.00°
With the nearest neighbours (Å) after each atom.
Atoms (fractional coordinates):
Ru (0.5000, 0.5000, 0.5000)  12 H 2.49
Ag (0.0000, 0.0000, 0.0000)  6 H 1.76
H (0.0000, 0.5000, 0.0000)  2 Ag 1.76
H (0.0000, 0.0000, 0.5000)  2 Ag 1.76
H (0.5000, 0.0000, 0.0000)  2 Ag 1.76

Output
* symmetry: Pm-3m (221)
* distance to the lowest polymorph of the same formula: 581.4 meV per atom
* final energy: -3.60 eV/atom

Entry 4:
Compound: AgHRu3
Source: Alexandria
Functional: PBE
Structure: optimized geometry

Cell: 4.9263 4.9263 4.9263 Å, 90.00 90.00 90.00°
With the nearest neighbours (Å) after each atom.
Atoms (fractional coordinates):
Ru (0.0000, 0.5000, 0.0000)  2 Ag 2.46
Ru (0.0000, 0.0000, 0.5000)  2 Ag 2.46
Ru (0.5000, 0.0000, 0.0000)  2 Ag 2.46
Ag (0.0000, 0.0000, 0.0000)  6 Ru 2.46
H (0.5000, 0.5000, 0.5000)  12 Ru 3.48

Output
* symmetry: Pm-3m (221)
* distance to the lowest polymorph of the same formula: 2413.9 meV per atom
* final energy: -3.92 eV/atom

Entry 5:
Compound: AgH2Ru2
Source: Alexandria
Functional: PBE
Structure: optimized geometry

Cell: 3.4931 3.4931 4.8597 Å, 68.94 68.94 90.00°
With the nearest neighbours (Å) after each atom.
Atoms (fractional coordinates):
Ru (0.3345, 0.3345, 0.3310)  4 H 1.88
Ru (0.6655, 0.6655, 0.6690)  4 H 1.88
Ag (0.0000, 0.0000, 0.0000)  8 H 2.73, 10 Ru 2.80-2.83
H (0.7500, 0.2500, 0.5000)  4 Ru 1.88
H (0.2500, 0.7500, 0.5000)  4 Ru 1.88

Output
* symmetry: I4/mmm (139)
* final energy: -5.29 eV/atom

Entry 6:
Compound: Ag3H12Ru5
Source: Alexandria
Functional: PBE
Structure: optimized geometry

Cell: 9.5744 9.5744 9.5744 Å, 109.47 109.47 109.47°
With the nearest neighbours (Å) after each atom.
Atoms (fractional coordinates):
Ag (0.7500, 0.3750, 0.1250)  8 H 2.07-2.25
Ag (0.8750, 0.7500, 0.1250)  8 H 2.07-2.25
Ag (0.3750, 0.7500, 0.6250)  8 H 2.07-2.25
Ag (0.2500, 0.1250, 0.3750)  8 H 2.07-2.25
Ag (0.8750, 0.1250, 0.2500)  8 H 2.07-2.25
Ag (0.3750, 0.6250, 0.2500)  8 H 2.07-2.25
Ag (0.6250, 0.3750, 0.7500)  8 H 2.07-2.25
Ag (0.1250, 0.8750, 0.7500)  8 H 2.07-2.25
Ag (0.7500, 0.8750, 0.6250)  8 H 2.07-2.25
Ag (0.6250, 0.2500, 0.3750)  8 H 2.07-2.25
Ag (0.1250, 0.2500, 0.8750)  8 H 2.07-2.25
Ag (0.2500, 0.6250, 0.8750)  8 H 2.07-2.25
Ru (0.1250, 0.3750, 0.2500)  4 H 1.72
Ru (0.0000, 0.5000, 0.0000)  6 H 1.78
Ru (0.0000, 0.0000, 0.0000)  6 H 1.78
Ru (0.3750, 0.2500, 0.1250)  4 H 1.72
Ru (0.5000, 0.0000, 0.5000)  6 H 1.78
Ru (0.5000, 0.5000, 0.0000)  6 H 1.78
Ru (0.1250, 0.7500, 0.3750)  4 H 1.72
Ru (0.7500, 0.1250, 0.8750)  4 H 1.72
Ru (0.7500, 0.6250, 0.3750)  4 H 1.72
Ru (0.3750, 0.1250, 0.7500)  4 H 1.72
Ru (0.6250, 0.8750, 0.2500)  4 H 1.72
Ru (0.5000, 0.5000, 0.5000)  6 H 1.78
Ru (0.5000, 0.0000, 0.0000)  6 H 1.78
Ru (0.0000, 0.0000, 0.5000)  6 H 1.78
Ru (0.2500, 0.3750, 0.6250)  4 H 1.72
Ru (0.2500, 0.8750, 0.1250)  4 H 1.72
Ru (0.0000, 0.5000, 0.5000)  6 H 1.78
Ru (0.8750, 0.2500, 0.6250)  4 H 1.72
Ru (0.6250, 0.7500, 0.8750)  4 H 1.72
Ru (0.8750, 0.6250, 0.7500)  4 H 1.72
H (0.7092, 0.1081, 0.0320)  2 Ru 1.72-1.78
H (0.3228, 0.5320, 0.4238)  2 Ru 1.72-1.78
H (0.9680, 0.3919, 0.2908)  2 Ru 1.72-1.78
H (0.5320, 0.2092, 0.1081)  2 Ru 1.72-1.78
H (0.6010, 0.7092, 0.6772)  2 Ru 1.72-1.78
H (0.9680, 0.5762, 0.1772)  2 Ru 1.72-1.78
H (0.3228, 0.7908, 0.3990)  2 Ru 1.72-1.78
H (0.0762, 0.8990, 0.1081)  2 Ru 1.72-1.78
H (0.5762, 0.9680, 0.6772)  2 Ru 1.72-1.78
H (0.7092, 0.6010, 0.1772)  2 Ru 1.72-1.78
H (0.7908, 0.4680, 0.3919)  2 Ru 1.72-1.78
H (0.8228, 0.9238, 0.0320)  2 Ru 1.72-1.78
H (0.1081, 0.7092, 0.5320)  2 Ru 1.72-1.78
H (0.3919, 0.4238, 0.1010)  2 Ru 1.72-1.78
H (0.1010, 0.9238, 0.3919)  2 Ru 1.72-1.78
H (0.3990, 0.1081, 0.5762)  2 Ru 1.72-1.78
H (0.1010, 0.1772, 0.2092)  2 Ru 1.72-1.78
H (0.4680, 0.6772, 0.0762)  2 Ru 1.72-1.78
H (0.8228, 0.8990, 0.2908)  2 Ru 1.72-1.78
H (0.1081, 0.3990, 0.0762)  2 Ru 1.72-1.78
H (0.3919, 0.9680, 0.7908)  2 Ru 1.72-1.78
H (0.5762, 0.6081, 0.3990)  2 Ru 1.72-1.78
H (0.9238, 0.8228, 0.5320)  2 Ru 1.72-1.78
H (0.7908, 0.3228, 0.8990)  2 Ru 1.72-1.78
H (0.4238, 0.3919, 0.6010)  2 Ru 1.72-1.78
H (0.0762, 0.1772, 0.4680)  2 Ru 1.72-1.78
H (0.2092, 0.6772, 0.1010)  2 Ru 1.72-1.78
H (0.1772, 0.1010, 0.7092)  2 Ru 1.72-1.78
H (0.6081, 0.0320, 0.2092)  2 Ru 1.72-1.78
H (0.8919, 0.6010, 0.9238)  2 Ru 1.72-1.78
H (0.5320, 0.3228, 0.9238)  2 Ru 1.72-1.78
H (0.6010, 0.8919, 0.4238)  2 Ru 1.72-1.78
H (0.8990, 0.8228, 0.7908)  2 Ru 1.72-1.78
H (0.8990, 0.0762, 0.6081)  2 Ru 1.72-1.78
H (0.8919, 0.2908, 0.4680)  2 Ru 1.72-1.78
H (0.1772, 0.0762, 0.9680)  2 Ru 1.72-1.78
H (0.6081, 0.5762, 0.8990)  2 Ru 1.72-1.78
H (0.4238, 0.0320, 0.3228)  2 Ru 1.72-1.78
H (0.2908, 0.3990, 0.8228)  2 Ru 1.72-1.78
H (0.2092, 0.5320, 0.6081)  2 Ru 1.72-1.78
H (0.9238, 0.1010, 0.8919)  2 Ru 1.72-1.78
H (0.6772, 0.2092, 0.6010)  2 Ru 1.72-1.78
H (0.4680, 0.7908, 0.8919)  2 Ru 1.72-1.78
H (0.0320, 0.4238, 0.8228)  2 Ru 1.72-1.78
H (0.3990, 0.2908, 0.3228)  2 Ru 1.72-1.78
H (0.0320, 0.6081, 0.7092)  2 Ru 1.72-1.78
H (0.6772, 0.4680, 0.5762)  2 Ru 1.72-1.78
H (0.2908, 0.8919, 0.9680)  2 Ru 1.72-1.78

Output
* symmetry: Ia-3d (230)
* final energy: -4.43 eV/atom

Entry 7:
Compound: AgH3Ru
Source: Alexandria
Functional: PBE
Structure: optimized geometry

Cell: 3.4950 3.4950 3.4950 Å, 90.00 90.00 90.00°
With the nearest neighbours (Å) after each atom.
Atoms (fractional coordinates):
Ru (0.0000, 0.0000, 0.0000)  6 H 1.75
Ag (0.5000, 0.5000, 0.5000)  12 H 2.47
H (0.0000, 0.5000, 0.0000)  2 Ru 1.75
H (0.0000, 0.0000, 0.5000)  2 Ru 1.75
H (0.5000, 0.0000, 0.0000)  2 Ru 1.75

Output
* symmetry: Pm-3m (221)
* distance to the lowest polymorph of the same formula: 0.0 meV per atom
* final energy: -4.18 eV/atom

Entry 8:
Compound: Ag2HRu
Source: Alexandria
Functional: PBE
Structure: optimized geometry

Cell: 4.4050 4.4050 4.4050 Å, 60.00 60.00 60.00°
With the nearest neighbours (Å) after each atom.
Atoms (fractional coordinates):
Ru (0.5000, 0.5000, 0.5000)  8 Ag 2.70
Ag (0.2500, 0.2500, 0.2500)  4 H 2.70, 4 Ru 2.70
Ag (0.7500, 0.7500, 0.7500)  4 H 2.70, 4 Ru 2.70
H (0.0000, 0.0000, 0.0000)  8 Ag 2.70

Output
* symmetry: Fm-3m (225)
* distance to the lowest polymorph of the same formula: 373.6 meV per atom
* final energy: -3.40 eV/atom

In the order shown, the computed DOS at the Fermi energy values come out to 0.38; 0.46; 0.49; 1.93; 0.73; 0.77; 0.68; 1.83 states/eV per atom.